This record from Alexandria via LeMat-Bulk describes TiTlPO5 after structural relaxation. The functional is PBE.

Results
- magnetization (μB per atom) = 0.000
- E above lowest polymorph (eV/f.u.) = 0.03
- symmetry = Pnna (52)

abc: 6.571 10.652 13.103
angles: 90.00 90.00 90.00
Element x y z (fractional)
1 O 0.940 0.722 0.865
2 O 0.060 0.278 0.135
3 O 0.779 0.118 0.236
4 O 0.297 0.624 0.973
5 O 0.703 0.624 0.473
6 O 0.291 0.635 0.502
7 O 0.279 0.618 0.764
8 O 0.709 0.365 0.498
9 O 0.560 0.222 0.635
10 O 0.279 0.382 0.736
11 O 0.050 0.981 0.153
12 O 0.797 0.876 0.473
13 O 0.950 0.981 0.653
14 O 0.950 0.019 0.847
15 O 0.709 0.635 0.002
16 O 0.291 0.365 0.998
17 O 0.060 0.722 0.365
18 O 0.791 0.135 0.498
19 O 0.550 0.519 0.653
20 O 0.703 0.376 0.027
21 O 0.940 0.278 0.635
22 O 0.550 0.481 0.847
23 O 0.209 0.865 0.502
24 O 0.050 0.019 0.347
25 O 0.797 0.124 0.027
26 O 0.779 0.882 0.264
27 O 0.221 0.118 0.736
28 O 0.221 0.882 0.764
29 O 0.440 0.222 0.135
30 O 0.209 0.135 0.998
31 O 0.203 0.876 0.973
32 O 0.203 0.124 0.527
33 O 0.450 0.519 0.153
34 O 0.450 0.481 0.347
35 O 0.791 0.865 0.002
36 O 0.721 0.618 0.264
37 O 0.440 0.778 0.365
38 O 0.721 0.382 0.236
39 O 0.560 0.778 0.865
40 O 0.297 0.376 0.527
41 Tl 0.047 0.357 0.355
42 Tl 0.453 0.857 0.145
43 Tl 0.453 0.143 0.355
44 Tl 0.047 0.643 0.145
45 Tl 0.547 0.857 0.645
46 Tl 0.547 0.143 0.855
47 Tl 0.953 0.357 0.855
48 Tl 0.953 0.643 0.645
49 P 0.415 0.500 0.750
50 P 0.250 0.750 0.431
51 P 0.085 0.000 0.750
52 P 0.750 0.750 0.931
53 P 0.750 0.250 0.569
54 P 0.250 0.250 0.069
55 P 0.915 0.000 0.250
56 P 0.585 0.500 0.250
57 Ti 0.750 0.250 0.119
58 Ti 0.500 0.500 0.500
59 Ti 0.250 0.250 0.619
60 Ti 0.750 0.750 0.381
61 Ti 0.000 0.000 0.500
62 Ti 0.250 0.750 0.881
63 Ti 0.000 0.000 0.000
64 Ti 0.500 0.500 0.000